i | The following is a DFT calculation (GGA-PBE) of crystalline SnPdI2O at its relaxed geometry.

Cell and atoms, written as extended XYZ:
```
5
Lattice="5.707 0.000 0.000 0.000 5.707 0.000 0.000 0.000 3.936" Properties=species:S:1:pos:R:3 pbc="T T T"
I 0.000 2.853 0.000
I 2.853 0.000 0.000
O 0.000 0.000 1.968
Sn 2.853 2.853 1.968
Pd 0.000 0.000 0.000
```

Summary:
D(E_F): 3.74 states/eV/cell
V: 128.19 Å³ per cell

ii | The following is a DFT calculation (GGA-PBE) of crystalline SnPdI2O at its relaxed geometry.

Cell and atoms, written as extended XYZ:
```
5
Lattice="5.948 0.000 0.000 0.000 5.948 0.000 0.000 0.000 3.975" Properties=species:S:1:pos:R:3 pbc="T T T"
I 0.000 2.974 0.000
I 2.974 0.000 0.000
O 0.000 0.000 1.987
Sn 0.000 0.000 0.000
Pd 2.974 2.974 1.987
```

Summary:
D(E_F): 4.84 states/eV/cell
V: 140.64 Å³ per cell

It turns out i is the most stable, with the second structure 0.065 eV/atom higher.

i | The following is a DFT calculation (GGA-PBE) of crystalline SrPdI2O at its relaxed geometry.

Cell and atoms, written as extended XYZ:
```
5
Lattice="6.414 0.000 0.000 0.000 6.414 0.000 0.000 0.000 4.212" Properties=species:S:1:pos:R:3 pbc="T T T"
I 0.000 3.207 0.000
I 3.207 0.000 0.000
Sr 0.000 0.000 0.000
O 0.000 0.000 2.106
Pd 3.207 3.207 2.106
```

Summary:
D(E_F): 9.91 states/eV/cell
V: 173.31 Å³ per cell

ii | The following is a DFT calculation (GGA-PBE) of crystalline SrPdI2O at its relaxed geometry.

Cell and atoms, written as extended XYZ:
```
5
Lattice="5.660 0.000 0.000 0.000 5.660 0.000 0.000 0.000 4.131" Properties=species:S:1:pos:R:3 pbc="T T T"
I 0.000 2.830 0.000
I 2.830 0.000 0.000
Sr 2.830 2.830 2.065
O 0.000 0.000 2.065
Pd 0.000 0.000 0.000
```

Summary:
D(E_F): 5.42 states/eV/cell
V: 132.33 Å³ per cell

It turns out ii is the most stable, with the second structure 0.539 eV/atom higher.

i | The following is a DFT calculation (GGA-PBE) of crystalline SrPdIO2 at its relaxed geometry.

Cell and atoms, written as extended XYZ:
```
5
Lattice="-1.542 2.783 -2.815 -6.930 -0.007 3.789 1.333 3.210 2.443" Properties=species:S:1:pos:R:3 pbc="T T T"
I -3.569 2.993 1.709
Sr 0.000 0.000 0.000
O 0.666 1.605 1.222
O -0.771 1.392 -1.408
Pd -3.465 -0.003 1.894
```

Summary:
D(E_F): 8.02 states/eV/cell
V: 142.54 Å³ per cell

ii | The following is a DFT calculation (GGA-PBE) of crystalline SrPdIO2 at its relaxed geometry.

Cell and atoms, written as extended XYZ:
```
5
Lattice="-4.075 -0.421 -1.756 -1.430 -1.894 3.772 -1.763 6.419 2.554" Properties=species:S:1:pos:R:3 pbc="T T T"
I -0.882 3.210 1.277
Sr 0.000 0.000 0.000
O -0.715 -0.947 1.886
O -2.037 -0.210 -0.878
Pd -3.634 2.052 2.285
```

Summary:
D(E_F): 4.29 states/eV/cell
V: 141.64 Å³ per cell

iii | The following is a DFT calculation (GGA-PBE) of crystalline SrPdIO2 at its relaxed geometry.

Cell and atoms, written as extended XYZ:
```
5
Lattice="-0.539 0.070 -4.367 0.361 -4.385 -0.115 -5.077 -0.434 0.620" Properties=species:S:1:pos:R:3 pbc="T T T"
I -2.539 -0.217 0.310
Sr -2.628 -2.374 -1.931
O 0.180 -2.192 -0.058
O -0.269 0.035 -2.184
Pd 0.000 0.000 0.000
```

Summary:
D(E_F): 5.07 states/eV/cell
V: 99.42 Å³ per cell

It turns out iii is the most stable, with the second structure 0.413 eV/atom higher.

i | The following is a DFT calculation (GGA-PBE) of crystalline TaPdI2O at its relaxed geometry.

Cell and atoms, written as extended XYZ:
```
5
Lattice="-0.877 5.517 0.391 -2.574 -0.057 -4.973 -3.375 -0.661 1.754" Properties=species:S:1:pos:R:3 pbc="T T T"
I -1.287 -0.028 -2.486
I -0.438 2.758 0.196
O -1.687 -0.330 0.877
Pd -3.413 2.400 -1.414
Ta 0.000 0.000 0.000
```

Summary:
D(E_F): 2.95 states/eV/cell
V: 121.06 Å³ per cell

ii | The following is a DFT calculation (GGA-PBE) of crystalline TaPdI2O at its relaxed geometry.

Cell and atoms, written as extended XYZ:
```
5
Lattice="-3.056 3.562 -2.954 -4.075 -3.749 -0.305 -1.505 1.375 3.215" Properties=species:S:1:pos:R:3 pbc="T T T"
I -2.038 -1.874 -0.152
I -1.528 1.781 -1.477
O -0.753 0.688 1.608
Pd 0.000 0.000 0.000
Ta -4.318 0.594 -0.022
```

Summary:
D(E_F): 4.23 states/eV/cell
V: 117.08 Å³ per cell

It turns out i is the most stable, with the second structure 1.087 eV/atom higher.

i | The following is a DFT calculation (GGA-PBE) of crystalline TaPdIO2 at its relaxed geometry.

Cell and atoms, written as extended XYZ:
```
5
Lattice="3.908 0.000 0.000 0.000 3.908 0.000 0.000 0.000 6.168" Properties=species:S:1:pos:R:3 pbc="T T T"
I 0.000 0.000 3.084
O 0.000 1.954 0.000
O 1.954 0.000 0.000
Pd 1.954 1.954 3.084
Ta 0.000 0.000 0.000
```

Summary:
D(E_F): 1.98 states/eV/cell
V: 94.19 Å³ per cell

ii | The following is a DFT calculation (GGA-PBE) of crystalline TaPdIO2 at its relaxed geometry.

Cell and atoms, written as extended XYZ:
```
5
Lattice="-0.436 4.077 0.171 -3.739 -0.330 -1.660 -2.061 -0.419 4.727" Properties=species:S:1:pos:R:3 pbc="T T T"
I -1.031 -0.209 2.363
O -1.869 -0.165 -0.830
O -0.218 2.038 0.086
Pd 0.000 0.000 0.000
Ta -3.118 1.664 1.619
```

Summary:
D(E_F): 4.97 states/eV/cell
V: 87.13 Å³ per cell

It turns out i is the most stable, with the second structure 2.053 eV/atom higher.

i | The following is a DFT calculation (GGA-PBE) of crystalline TcPdIO2 at its relaxed geometry.

Cell and atoms, written as extended XYZ:
```
5
Lattice="3.811 0.000 0.000 0.000 3.811 0.000 0.000 0.000 6.022" Properties=species:S:1:pos:R:3 pbc="T T T"
I 0.000 0.000 3.011
O 0.000 1.905 0.000
O 1.905 0.000 0.000
Tc 0.000 0.000 0.000
Pd 1.905 1.905 3.011
```

Summary:
D(E_F): 0.69 states/eV/cell
V: 87.44 Å³ per cell

ii | The following is a DFT calculation (GGA-PBE) of crystalline TcPdIO2 at its relaxed geometry.

Cell and atoms, written as extended XYZ:
```
5
Lattice="3.928 0.000 0.000 0.000 3.928 0.000 0.000 0.000 6.700" Properties=species:S:1:pos:R:3 pbc="T T T"
I 0.000 0.000 3.350
O 0.000 1.964 0.000
O 1.964 0.000 0.000
Tc 1.964 1.964 3.350
Pd 0.000 0.000 0.000
```

Summary:
D(E_F): 4.16 states/eV/cell
V: 103.40 Å³ per cell

It turns out i is the most stable, with the second structure 1.296 eV/atom higher.

i | The following is a DFT calculation (GGA-PBE) of crystalline Te2PdIO at its relaxed geometry.

Cell and atoms, written as extended XYZ:
```
5
Lattice="5.157 0.000 0.000 0.000 4.286 0.000 0.000 0.000 5.157" Properties=species:S:1:pos:R:3 pbc="T T T"
I 2.578 2.143 2.578
Te 0.000 0.000 2.578
Te 2.578 0.000 0.000
O 0.000 0.000 0.000
Pd 0.000 2.143 0.000
```

Summary:
D(E_F): 6.10 states/eV/cell
V: 113.98 Å³ per cell

ii | The following is a DFT calculation (GGA-PBE) of crystalline Te2PdIO at its relaxed geometry.

Cell and atoms, written as extended XYZ:
```
5
Lattice="-3.580 -2.435 0.642 1.275 -0.791 4.112 -3.585 5.861 2.239" Properties=species:S:1:pos:R:3 pbc="T T T"
I -1.792 2.931 1.120
Te 0.637 -0.396 2.056
Te -1.790 -1.217 0.321
O 0.000 0.000 0.000
Pd -2.945 1.318 3.496
```

Summary:
D(E_F): 5.82 states/eV/cell
V: 138.45 Å³ per cell

It turns out ii is the most stable, with the second structure 0.079 eV/atom higher.

i | The following is a DFT calculation (GGA-PBE) of crystalline TlPdIO2 at its relaxed geometry.

Cell and atoms, written as extended XYZ:
```
5
Lattice="4.061 0.000 0.000 0.000 4.061 0.000 0.000 0.000 7.453" Properties=species:S:1:pos:R:3 pbc="T T T"
I 0.000 0.000 3.726
Tl 0.000 0.000 0.000
O 0.000 2.031 0.000
O 2.031 0.000 0.000
Pd 2.031 2.031 3.726
```

Summary:
D(E_F): 6.47 states/eV/cell
V: 122.91 Å³ per cell

ii | The following is a DFT calculation (GGA-PBE) of crystalline TlPdIO2 at its relaxed geometry.

Cell and atoms, written as extended XYZ:
```
5
Lattice="4.306 0.000 0.000 0.000 4.306 0.000 0.000 0.000 5.521" Properties=species:S:1:pos:R:3 pbc="T T T"
I 0.000 0.000 2.760
Tl 2.153 2.153 2.760
O 0.000 2.153 0.000
O 2.153 0.000 0.000
Pd 0.000 0.000 0.000
```

Summary:
D(E_F): 5.98 states/eV/cell
V: 102.35 Å³ per cell

It turns out ii is the most stable, with the second structure 0.133 eV/atom higher.